No. 1
Below is a relaxed structure of ZrInAs, with properties calculated at the PBE level.

abc: 3.7141 3.7146 10.2822
angles: 90.00 90.53 90.00
Space group P2_1/m (No. 11)
Inequivalent atoms, fractional coordinates:
Zr (0.2475, 0.2500, 0.3960) x2
In (0.2543, 0.2500, 0.0939) x2
As (0.2544, 0.2500, 0.6724) x2

Energy above the lowest structure with this stoichiometry: 0.002 eV per atom

***

No. 2
Below is a relaxed structure of Zn3Cu, with properties calculated at the PBE level.

abc: 5.4140 7.4425 2.7551
angles: 90.00 90.00 90.00
Space group Cmmm (No. 65)
Inequivalent atoms, fractional coordinates:
Zn (0.0000, 0.0000, 0.0000) x2
Zn (0.2500, 0.2500, 0.5000) x4
Cu (0.0000, 0.5000, 0.0000) x2

***

No. 3
Below is a relaxed structure of Ba2Na7Li, with properties calculated at the PBE level.

abc: 5.4062 5.4062 14.4371
angles: 90.00 90.00 90.00
Space group P-4m2 (No. 115)
Inequivalent atoms, fractional coordinates:
Ba (0.0000, 0.5000, 0.2387) x2
Na (0.0000, 0.0000, 0.0000) x1
Na (0.0000, 0.0000, 0.5000) x1
Na (0.0000, 0.5000, 0.6471) x2
Na (0.0000, 0.5000, 0.8733) x2
Na (0.5000, 0.5000, 0.5000) x1
Li (0.5000, 0.5000, 0.0000) x1

Energy above the lowest structure with this stoichiometry: 0.000 eV per atom

***

No. 4
Below is a relaxed structure of YTa2Os, with properties calculated at the PBE level.

abc: 7.7945 7.7945 5.7477
angles: 90.00 90.00 90.00
Space group I-42d (No. 122)
Inequivalent atoms, fractional coordinates:
Y (0.0000, 0.0000, 0.0000) x4
Ta (0.1896, 0.2500, 0.6250) x8
Os (0.0000, 0.0000, 0.5000) x4

Energy above the lowest structure with this stoichiometry: 0.398 eV per atom

***

For reference, calculated formation energy by record: -1.9; -0.1; 0.5; 1.6 eV/f.u..
For reference, total magnetic moment by record: 0.00; 0.00; 0.00; 0.00 μB per cell.